# SbRh5

A relaxed SbRh5 crystal (PBE, Alexandria via LeMat-Bulk).

Calculated values
Formation energy without anion corrections = 0.3040 eV per atom
E = -156.22 eV/cell
V = 16.15 Å³ per atom

Cell and atoms, written as CIF:
```
data_SbRh5
_symmetry_space_group_name_H-M 'F -4 3 m'
_symmetry_Int_Tables_number 216
_symmetry_space_group_name_Hall 'F -4 2 3'
_cell_length_a 7.2906
_cell_length_b 7.2906
_cell_length_c 7.2906
_cell_angle_alpha 90.00
_cell_angle_beta 90.00
_cell_angle_gamma 90.00
loop_
_atom_site_label
_atom_site_type_symbol
_atom_site_fract_x
_atom_site_fract_y
_atom_site_fract_z
_atom_site_occupancy
Sb1 Sb 0.0000 0.0000 0.0000 1
Rh1 Rh 0.1244 0.1244 0.3756 1
Rh2 Rh 0.2500 0.2500 0.7500 1
```